Entry 1:
Here is an optimized crystal structure of VHgTe2 from Alexandria via LeMat-Bulk. Energies are from GGA-PBE.

## Properties
Symmetry: No. 63
DFT total energy: -59.8 eV/cell
Magnetization: 2.83 μB/f.u.
E_form (uncorrected): 0.19 eV/atom

The structure in extended XYZ format:
```
16
Lattice="3.462 0.000 0.000 0.000 24.703 0.000 0.000 0.000 5.332" Properties=species:S:1:pos:R:3 pbc="T T T"
V 0.000 1.605 1.333
V 0.000 23.098 3.999
V 1.731 10.747 3.999
V 1.731 13.956 1.333
Hg 0.000 7.744 1.333
Hg 0.000 16.958 3.999
Hg 1.731 4.607 3.999
Hg 1.731 20.096 1.333
Te 0.000 1.166 3.999
Te 0.000 4.310 1.333
Te 0.000 20.392 3.999
Te 0.000 23.537 1.333
Te 1.731 8.041 3.999
Te 1.731 11.186 1.333
Te 1.731 13.517 3.999
Te 1.731 16.661 1.333
```

***

Entry 2:
Here is an optimized crystal structure of BaBeAu3 from Alexandria via LeMat-Bulk. Energies are from GGA-PBE.

## Properties
Symmetry: No. 221
DFT total energy: -17.7 eV/cell
Formation energy from the elements: -437 meV per atom
Magnetization: 0.00 μB/f.u.

The structure in extended XYZ format:
```
5
Lattice="4.818 0.000 0.000 0.000 4.818 0.000 0.000 0.000 4.818" Properties=species:S:1:pos:R:3 pbc="T T T"
Ba 0.000 0.000 0.000
Be 2.409 2.409 2.409
Au 0.000 2.409 2.409
Au 2.409 0.000 2.409
Au 2.409 2.409 0.000
```

***

Entry 3:
Here is an optimized crystal structure of Hf2Zn2Hg from Alexandria via LeMat-Bulk. Energies are from GGA-PBE.

## Properties
Symmetry: No. 127
DFT total energy: -47.1 eV/cell
Formation energy from the elements: -157 meV per atom
Magnetization: 0.00 μB/f.u.

The structure in extended XYZ format:
```
10
Lattice="6.754 0.000 0.000 0.000 6.754 0.000 0.000 0.000 4.082" Properties=species:S:1:pos:R:3 pbc="T T T"
Hf 1.128 2.249 0.000
Hf 2.249 5.626 0.000
Hf 4.505 1.128 0.000
Hf 5.626 4.505 0.000
Zn 0.871 4.248 2.041
Zn 2.506 0.871 2.041
Zn 4.248 5.883 2.041
Zn 5.883 2.506 2.041
Hg 0.000 0.000 2.041
Hg 3.377 3.377 2.041
```

***

Entry 4:
Here is an optimized crystal structure of InAgHgI2 from Alexandria via LeMat-Bulk. Energies are from GGA-PBE.

## Properties
Symmetry: No. 123
DFT total energy: -9.4 eV/cell
Magnetization: 0.00 μB/f.u.
E_form (uncorrected): -0.07 eV/atom

The structure in extended XYZ format:
```
5
Lattice="5.796 0.000 0.000 0.000 5.796 0.000 0.000 0.000 5.705" Properties=species:S:1:pos:R:3 pbc="T T T"
In 0.000 0.000 0.000
Ag 0.000 0.000 2.853
Hg 2.898 2.898 0.000
I 0.000 2.898 2.853
I 2.898 0.000 2.853
```

***

Entry 5:
Here is an optimized crystal structure of SiSn2Te from Alexandria via LeMat-Bulk. Energies are from GGA-PBE.

## Properties
Symmetry: No. 225
DFT total energy: -60.9 eV/cell
Magnetization: 0.00 μB/f.u.
E_form (uncorrected): 0.34 eV/atom

The structure in extended XYZ format:
```
16
Lattice="7.371 0.000 0.000 0.000 7.371 0.000 0.000 0.000 7.371" Properties=species:S:1:pos:R:3 pbc="T T T"
Si 0.000 0.000 0.000
Si 0.000 3.686 3.686
Si 3.686 0.000 3.686
Si 3.686 3.686 0.000
Sn 1.843 1.843 1.843
Sn 1.843 1.843 5.529
Sn 1.843 5.529 1.843
Sn 1.843 5.529 5.529
Sn 5.529 1.843 1.843
Sn 5.529 1.843 5.529
Sn 5.529 5.529 1.843
Sn 5.529 5.529 5.529
Te 0.000 0.000 3.686
Te 0.000 3.686 0.000
Te 3.686 0.000 0.000
Te 3.686 3.686 3.686
```

***

Entry 6:
Here is an optimized crystal structure of ZrGaBi from Alexandria via LeMat-Bulk. Energies are from GGA-PBE.

## Properties
Symmetry: No. 36
DFT total energy: -65.1 eV/cell
Formation energy from the elements: -271 meV per atom
Magnetization: 0.00 μB/f.u.

The structure in extended XYZ format:
```
12
Lattice="3.895 0.000 0.000 0.000 10.890 0.000 0.000 0.000 6.685" Properties=species:S:1:pos:R:3 pbc="T T T"
Zr 0.000 0.575 0.000
Zr 0.000 10.315 3.343
Zr 1.947 4.870 3.343
Zr 1.947 6.020 0.000
Ga 0.000 4.364 5.273
Ga 0.000 6.526 1.930
Ga 1.947 1.081 1.930
Ga 1.947 9.809 5.273
Bi 0.000 3.513 1.286
Bi 0.000 7.377 4.628
Bi 1.947 1.932 4.628
Bi 1.947 8.957 1.286
```

***

Entry 7:
Here is an optimized crystal structure of CsSnGeSb2 from Alexandria via LeMat-Bulk. Energies are from GGA-PBE.

## Properties
Symmetry: No. 123
DFT total energy: -16.5 eV/cell
Magnetization: 0.00 μB/f.u.
E_form (uncorrected): 0.24 eV/atom

The structure in extended XYZ format:
```
5
Lattice="5.686 0.000 0.000 0.000 5.686 0.000 0.000 0.000 5.485" Properties=species:S:1:pos:R:3 pbc="T T T"
Cs 0.000 0.000 0.000
Sn 2.843 2.843 0.000
Ge 2.843 2.843 2.742
Sb 0.000 2.843 2.742
Sb 2.843 0.000 2.742
```

***

Entry 8:
Here is an optimized crystal structure of Rb2AcF5 from Alexandria via LeMat-Bulk. Energies are from GGA-PBE.

## Properties
Symmetry: No. 62
DFT total energy: -172.7 eV/cell
Magnetization: 0.11 μB/f.u.
E_form (uncorrected): -3.47 eV/atom

The structure in extended XYZ format:
```
32
Lattice="11.664 0.000 0.000 0.000 8.107 0.000 0.000 0.000 7.112" Properties=species:S:1:pos:R:3 pbc="T T T"
Rb 1.993 0.026 0.187
Rb 1.993 4.028 0.187
Rb 3.840 4.080 3.743
Rb 3.840 8.081 3.743
Rb 7.825 0.026 3.369
Rb 7.825 4.028 3.369
Rb 9.672 4.080 6.925
Rb 9.672 8.081 6.925
Ac 0.024 2.027 4.007
Ac 5.808 6.081 0.451
Ac 5.856 2.027 6.661
Ac 11.640 6.081 3.105
F 0.130 2.027 6.420
F 0.957 4.296 4.580
F 0.957 7.866 4.580
F 1.978 2.027 2.558
F 2.300 6.081 2.368
F 3.532 2.027 5.924
F 3.854 6.081 6.114
F 4.875 0.242 1.023
F 4.875 3.812 1.023
F 5.702 6.081 2.863
F 5.962 2.027 4.249
F 6.789 4.296 6.089
F 6.789 7.866 6.089
F 7.810 2.027 0.998
F 8.132 6.081 1.189
F 9.364 2.027 4.745
F 9.686 6.081 4.554
F 10.707 0.242 2.533
F 10.707 3.812 2.533
F 11.534 6.081 0.693
```